Record 1
Entry from Alexandria via LeMat-Bulk: crystalline Nd2SmC2I2 at its relaxed geometry (PBE).

Summary:
The uncorrected formation energy comes out at -0.3958 eV per atom.

Cell lengths 9.873, 9.873, 9.873 Å; angles 153.07, 153.07, 38.46 degrees
Sites, in units of the cell vectors:
1 Nd 0.084 0.084 0.000
2 Nd 0.916 0.916 0.000
3 Sm 0.500 0.500 0.000
4 C 0.000 0.500 0.500
5 C 0.500 0.000 0.500
6 I 0.326 0.326 0.000
7 I 0.674 0.674 0.000



Record 2
Entry from Alexandria via LeMat-Bulk: crystalline YRhPb2 at its relaxed geometry (PBE).

Summary:
For the energy of formation, the calculation gives -0.070 eV per atom.

Cell lengths 11.074, 11.074, 11.074 Å; angles 157.02, 157.02, 32.72 degrees
Sites, in units of the cell vectors:
1 Y 0.000 0.000 0.000
2 Y 0.750 0.250 0.500
3 Rh 0.250 0.750 0.500
4 Rh 0.500 0.500 0.000
5 Pb 0.146 0.625 0.021
6 Pb 0.375 0.396 0.521
7 Pb 0.604 0.125 0.979
8 Pb 0.875 0.854 0.479



Record 3
Entry from Alexandria via LeMat-Bulk: crystalline RbTl2H at its relaxed geometry (PBE).

Summary:
Its energy above the lowest structure with this stoichiometry is 0.000 eV per atom.

Cell lengths 6.946, 6.946, 6.946 Å; angles 110.43, 110.43, 107.58 degrees
Sites, in units of the cell vectors:
1 Rb 0.000 0.000 0.000
2 Rb 0.750 0.250 0.500
3 Tl 0.266 0.625 0.141
4 Tl 0.375 0.516 0.641
5 Tl 0.484 0.125 0.859
6 Tl 0.875 0.734 0.359
7 H 0.250 0.750 0.500
8 H 0.500 0.500 0.000



Record 4
Entry from Alexandria via LeMat-Bulk: crystalline K2GaBiCl6 at its relaxed geometry (PBE).

Summary:
The uncorrected formation energy comes out at -1.3570 eV per atom.

Cell lengths 7.928, 7.928, 7.928 Å; angles 57.73, 57.73, 57.73 degrees
Sites, in units of the cell vectors:
1 K 0.000 0.000 0.000
2 K 0.494 0.494 0.494
3 Ga 0.213 0.213 0.213
4 Bi 0.706 0.706 0.706
5 Cl 0.045 0.452 0.843
6 Cl 0.363 0.924 0.572
7 Cl 0.452 0.843 0.045
8 Cl 0.572 0.363 0.924
9 Cl 0.843 0.045 0.452
10 Cl 0.924 0.572 0.363



Record 5
Entry from Alexandria via LeMat-Bulk: crystalline Tl2Pb2W at its relaxed geometry (PBE).

Summary:
Its energy above the lowest structure with this stoichiometry is 0.306 eV per atom. For the energy of formation, the calculation gives 1.262 eV per atom.

Cell lengths 8.943, 8.943, 8.943 Å; angles 152.86, 152.86, 38.75 degrees
Sites, in units of the cell vectors:
1 Tl 0.087 0.087 0.000
2 Tl 0.913 0.913 0.000
3 Pb 0.250 0.750 0.500
4 Pb 0.750 0.250 0.500
5 W 0.500 0.500 0.000



Record 6
Entry from Alexandria via LeMat-Bulk: crystalline CsTlAu2 at its relaxed geometry (PBE).

Summary:
Its energy above the lowest structure with this stoichiometry is 0.000 eV per atom. For the energy of formation, the calculation gives -0.207 eV per atom.

Cell lengths 4.998, 8.194, 7.381 Å; angles 90.00, 109.73, 90.00 degrees
Sites, in units of the cell vectors:
1 Cs 0.065 0.250 0.131
2 Cs 0.935 0.750 0.869
3 Tl 0.343 0.250 0.687
4 Tl 0.657 0.750 0.313
5 Au 0.243 0.579 0.486
6 Au 0.243 0.921 0.486
7 Au 0.757 0.079 0.514
8 Au 0.757 0.421 0.514



Record 7
Entry from Alexandria via LeMat-Bulk: crystalline LaYHg2 at its relaxed geometry (PBE).

Summary:
For the energy of formation, the calculation gives -0.069 eV per atom.

Cell lengths 5.352, 5.352, 5.352 Å; angles 60.00, 60.00, 60.00 degrees
Sites, in units of the cell vectors:
1 La 0.000 0.000 0.000
2 Y 0.750 0.750 0.750
3 Hg 0.250 0.250 0.250
4 Hg 0.500 0.500 0.500



Record 8
Entry from Alexandria via LeMat-Bulk: crystalline Mn2NbFeSn at its relaxed geometry (PBE).

Summary:
For the energy of formation, the calculation gives 1.475 eV per atom.

Cell lengths 4.626, 4.626, 5.326 Å; angles 90.00, 90.00, 90.00 degrees
Sites, in units of the cell vectors:
1 Mn 0.000 0.500 0.000
2 Mn 0.500 0.000 0.000
3 Nb 0.000 0.000 0.000
4 Fe 0.500 0.500 0.500
5 Sn 0.000 0.000 0.500



Number 1: total DFT energy (no corrections) -38.57 eV per cell. Number 2: total DFT energy (no corrections) -43.02 eV per cell. Number 3: total DFT energy (no corrections) -16.39 eV per cell. Number 4: total DFT energy (no corrections) -33.75 eV per cell. Number 5: total DFT energy (no corrections) -18.79 eV per cell. Number 6: total DFT energy (no corrections) -21.21 eV per cell. Number 7: total DFT energy (no corrections) -12.27 eV per cell. Number 8: total DFT energy (no corrections) -33.50 eV per cell.